No. 1
KCaCd2Ni | Alexandria | PBE-GGA | optimized geometry; Fermi-level density of states = 2.3 states/eV/f.u.; ΔH_f (0 K) = -0.05 eV per atom
1.0
5.238 0.000 0.000
0.000 5.238 0.000
0.000 0.000 5.174
Ca Cd Ni K
1 2 1 1
Direct
0.000 0.000 0.500
0.500 0.000 0.000
0.000 0.500 0.000
0.000 0.000 0.000
0.500 0.500 0.500

=====

No. 2
Mg8Cu2Ir | Alexandria | PBE-GGA | optimized geometry; Fermi-level density of states = 4.0 states/eV/f.u.; ΔH_f (0 K) = -0.13 eV per atom
1.0
4.503 0.000 0.000
0.000 6.606 -0.038
-2.251 -2.869 6.869
Mg Ir Cu
8 1 2
Direct
0.975 0.221 0.949
0.394 0.561 0.788
0.606 0.439 0.212
0.333 0.070 0.667
0.667 0.930 0.333
0.823 0.753 0.646
0.177 0.247 0.354
0.025 0.779 0.051
0.500 0.000 0.000
0.186 0.672 0.373
0.814 0.328 0.627

=====

No. 3
CuP2PtPb | Alexandria | PBE-GGA | optimized geometry; Fermi-level density of states = 4.5 states/eV/f.u.; ΔH_f (0 K) = 1.63 eV per atom
1.0
-2.083 -3.950 2.634
4.208 -2.758 -0.808
2.052 1.845 4.390
Cu P Pt Pb
1 2 1 1
Direct
0.500 0.500 0.500
0.000 0.000 0.500
0.500 0.000 0.000
0.000 0.500 0.000
0.000 0.000 0.000

=====

No. 4
HfSc3N | Alexandria | PBE-GGA | optimized geometry; Fermi-level density of states = 4.7 states/eV/f.u.; uncorrected formation energy = -2.67 eV per formula unit; relative energy among the computed polymorphs = 0.115 eV/atom
1.0
-4.141 -0.668 1.758
1.875 -1.146 3.981
-0.142 4.350 1.319
Sc Hf N
3 1 1
Direct
0.500 0.000 0.000
0.000 0.000 0.500
0.000 0.500 0.000
0.500 0.500 0.500
0.000 0.000 0.000

=====

No. 5
LaAl2Tl | Alexandria | PBE-GGA | optimized geometry; Fermi-level density of states = 1.6 states/eV/f.u.; ΔH_f (0 K) = -0.10 eV per atom; relative energy among the computed polymorphs = 0.173 eV/atom
1.0
-0.479 -1.034 -5.062
4.228 -0.837 -2.888
1.023 -4.764 -1.783
Tl Al La
1 2 1
Direct
0.750 0.750 0.750
0.000 0.000 0.000
0.250 0.250 0.250
0.500 0.500 0.500

=====

No. 6
Na2Tl3CrSe6 | Alexandria | PBE-GGA | optimized geometry; Fermi-level density of states = 4.1 states/eV/f.u.; uncorrected formation energy = -5.78 eV per formula unit
1.0
-0.434 7.345 0.546
-3.953 -4.275 4.532
6.414 -1.016 2.699
Se Na Tl Cr
6 2 3 1
Direct
0.066 0.350 0.217
0.350 0.066 0.217
0.934 0.650 0.783
0.228 0.228 0.798
0.650 0.934 0.783
0.772 0.772 0.202
0.670 0.330 0.000
0.330 0.670 0.000
0.851 0.149 0.500
0.149 0.851 0.500
0.500 0.500 0.500
0.000 0.000 0.000

=====

No. 7
Cs3TlF | Alexandria | PBE-GGA | optimized geometry; Fermi-level density of states = 4.3 states/eV/f.u.; uncorrected formation energy = -5.06 eV per formula unit; relative energy among the computed polymorphs = 0.000 eV/atom
1.0
-0.241 -5.824 1.988
3.498 1.507 4.840
-5.064 1.319 3.249
Cs F Tl
3 1 1
Direct
0.500 0.000 0.000
0.000 0.500 0.000
0.000 0.000 0.500
0.000 0.000 0.000
0.500 0.500 0.500

=====

No. 8
Ho2MnC4 | Alexandria | PBE-GGA | optimized geometry; Fermi-level density of states = 2.7 states/eV/f.u.; ΔH_f (0 K) = -0.27 eV per atom
1.0
-1.310 -4.796 0.731
5.211 -3.985 0.470
0.807 -1.901 6.244
C Ho Mn
8 4 2
Direct
0.921 0.908 0.250
0.129 0.213 0.529
0.371 0.471 0.787
0.421 0.250 0.908
0.629 0.529 0.213
0.079 0.092 0.750
0.579 0.750 0.092
0.871 0.787 0.471
0.145 0.510 0.200
0.645 0.200 0.510
0.855 0.490 0.800
0.355 0.800 0.490
0.250 0.000 0.000
0.750 0.000 0.000

=====

No. 9
YV2PbSe | Alexandria | PBE-GGA | optimized geometry; Fermi-level density of states = 7.5 states/eV/f.u.; uncorrected formation energy = 4.58 eV per formula unit
1.0
5.121 0.000 0.000
0.000 5.862 0.000
0.000 0.000 5.121
Pb Y V Se
1 1 2 1
Direct
0.000 0.000 0.000
0.000 0.500 0.000
0.000 0.000 0.500
0.500 0.000 0.000
0.500 0.500 0.500

=====

No. 10
MgGaF | Alexandria | PBE-GGA | optimized geometry; Fermi-level density of states = 0.5 states/eV/f.u.; uncorrected formation energy = -4.89 eV per formula unit; relative energy among the computed polymorphs = 0.040 eV/atom
1.0
10.873 0.000 -0.008
0.000 3.206 0.000
-0.985 0.000 5.513
F Ga Mg
4 4 4
Direct
0.102 0.000 0.742
0.871 0.500 0.495
0.871 0.000 0.995
0.102 0.500 0.242
0.583 0.500 0.729
0.583 0.000 0.229
0.403 0.500 0.336
0.403 0.000 0.836
0.191 0.500 0.604
0.191 0.000 0.104
0.789 0.500 0.134
0.789 0.000 0.634

=====

No. 11
Na2ThF8 | Alexandria | PBE-GGA | optimized geometry; Fermi-level density of states = 2.0 states/eV/f.u.; uncorrected formation energy = -30.94 eV per formula unit
1.0
4.021 0.000 0.000
0.000 5.701 0.403
-2.011 -1.989 6.468
F Na Th
8 2 1
Direct
0.341 0.069 0.681
0.382 0.616 0.763
0.831 0.679 0.661
0.968 0.194 0.935
0.659 0.931 0.319
0.032 0.806 0.065
0.169 0.321 0.339
0.618 0.384 0.237
0.202 0.738 0.403
0.798 0.262 0.597
0.500 0.000 0.000

=====

No. 12
Al2CoHOs | Alexandria | PBE-GGA | optimized geometry; Fermi-level density of states = 2.7 states/eV/f.u.; total DFT energy (no corrections) = -30.97 eV per cell
1.0
-3.136 -1.877 1.969
2.554 -3.066 1.144
0.704 1.558 2.605
Al H Co Os
2 1 1 1
Direct
0.000 0.500 0.000
0.500 0.000 0.000
0.000 0.000 0.000
0.000 0.000 0.500
0.500 0.500 0.500

=====

Magnetic moment, respectively: 0.0000 0.0000 0.1760 0.6073 0.0000 0.1159 0.0006 0.1261 1.3983 0.0000 0.1819 0.0000 μB per atom.